Below is an optimized crystal structure of Er2Ga3Rh4, with properties calculated at the PBE-GGA level.

Computed properties:
For the total energy, the calculation gives -6.1661 eV per atom.

a b c (Å): 5.6323 7.3755 7.9326
angles (deg): 90.00 110.79 90.00
Last column: nearest neighbours and their distance in Å.
Atoms (fractional coordinates):
Ga 0.5221 0.7500 0.5442  5 Rh 2.50-2.59
Rh 0.1784 0.9762 0.3568  5 Ga 2.57-2.65
Ga 0.5000 0.5000 0.0000  6 Rh 2.48-2.65
Rh 0.3094 0.2500 0.1188  3 Ga 2.48-2.50
Er 0.8923 0.4169 0.7845  8 Rh 2.92-3.27, 2 Ga 3.07
Rh 0.1906 0.7500 0.8812  3 Ga 2.48-2.50
Rh 0.3216 0.4762 0.6432  5 Ga 2.57-2.65
Er 0.1077 0.5831 0.2155  8 Rh 2.92-3.27, 2 Ga 3.07
Ga 0.4779 0.2500 0.4558  5 Rh 2.50-2.59
Ga 0.0221 0.7500 0.5442  5 Rh 2.50-2.59
Rh 0.8216 0.0238 0.6432  5 Ga 2.57-2.65
Rh 0.6784 0.5238 0.3568  5 Ga 2.57-2.65
Ga 0.0000 0.0000 0.0000  6 Rh 2.48-2.65
Rh 0.6906 0.7500 0.8812  3 Ga 2.48-2.50
Er 0.3923 0.0831 0.7845  8 Rh 2.92-3.27, 2 Ga 3.07
Ga 0.9779 0.2500 0.4558  5 Rh 2.50-2.59
Rh 0.8094 0.2500 0.1188  3 Ga 2.48-2.50
Er 0.6077 0.9169 0.2155  8 Rh 2.92-3.27, 2 Ga 3.07



Below is an optimized crystal structure of Er4Ga12Rh, with properties calculated at the PBE-GGA level.

Computed properties:
For the total energy, the calculation gives -4.2480 eV per atom.

a b c (Å): 7.4247 7.4247 7.4247
angles (deg): 109.47 109.47 109.47
Last column: nearest neighbours and their distance in Å.
Atoms (fractional coordinates):
Ga 0.7078 0.0000 0.7078  1 Rh 2.50, 4 Ga 2.79
Ga 0.5000 0.7500 0.2500  8 Ga 2.79-3.03, 4 Er 3.03
Ga 0.2500 0.5000 0.7500  8 Ga 2.79-3.03, 4 Er 3.03
Ga 0.2922 0.2922 0.0000  1 Rh 2.50, 4 Ga 2.79
Er 0.5000 0.5000 0.5000  12 Ga 3.03-3.05
Ga 0.7500 0.2500 0.5000  8 Ga 2.79-3.03, 4 Er 3.03
Er 0.5000 0.0000 0.0000  12 Ga 3.03-3.05
Er 0.0000 0.0000 0.5000  12 Ga 3.03-3.05
Rh 0.0000 0.0000 0.0000  6 Ga 2.50
Ga 0.5000 0.2500 0.7500  8 Ga 2.79-3.03, 4 Er 3.03
Er 0.0000 0.5000 0.0000  12 Ga 3.03-3.05
Ga 0.2500 0.7500 0.5000  8 Ga 2.79-3.03, 4 Er 3.03
Ga 0.7078 0.7078 0.0000  1 Rh 2.50, 4 Ga 2.79
Ga 0.2922 0.0000 0.2922  1 Rh 2.50, 4 Ga 2.79
Ga 0.0000 0.7078 0.7078  1 Rh 2.50, 4 Ga 2.79
Ga 0.0000 0.2922 0.2922  1 Rh 2.50, 4 Ga 2.79
Ga 0.7500 0.5000 0.2500  8 Ga 2.79-3.03, 4 Er 3.03



Below is an optimized crystal structure of Er4Ga3Rh, with properties calculated at the PBE-GGA level.

Computed properties:
For the total energy, the calculation gives -5.0150 eV per atom.

a b c (Å): 3.8596 4.2941 10.8812
angles (deg): 90.00 90.00 90.00
Last column: nearest neighbours and their distance in Å.
Atoms (fractional coordinates):
Er 0.0000 0.5000 0.8692  5 Ga 2.95-3.19, 2 Rh 2.95
Ga 0.5000 0.0000 0.9246  2 Rh 2.70, 5 Er 2.95-2.99
Ga 0.0000 0.0000 0.4252  2 Ga 2.70
Er 0.0000 0.0000 0.1393  4 Rh 2.97, 3 Ga 3.03-3.11
Ga 0.0000 0.5000 0.5757  2 Ga 2.70, 4 Er 3.00
Er 0.5000 0.5000 0.3418  1 Rh 2.91, 6 Ga 3.03-3.19
Er 0.5000 0.0000 0.6498  7 Ga 2.99-3.11
Rh 0.5000 0.5000 0.0745  2 Ga 2.70, 7 Er 2.91-2.97



Below is an optimized crystal structure of Er6Ga2Rh, with properties calculated at the PBE-GGA level.

Computed properties:
For the total energy, the calculation gives -4.9102 eV per atom.

a b c (Å): 4.8684 6.9388 8.3915
angles (deg): 114.42 106.86 90.00
Last column: nearest neighbours and their distance in Å.
Atoms (fractional coordinates):
Ga 0.6681 0.6681 0.3362  8 Er 3.01-3.03
Er 0.1603 0.9156 0.3208  1 Rh 2.88, 3 Ga 3.01
Er 0.1603 0.4052 0.3208  1 Rh 2.88, 3 Ga 3.01
Er 0.5000 0.2391 0.0000  2 Rh 2.95, 2 Ga 3.03
Er 0.8397 0.0844 0.6792  1 Rh 2.88, 3 Ga 3.01
Ga 0.3319 0.3319 0.6638  8 Er 3.01-3.03
Er 0.5000 0.7609 0.0000  2 Rh 2.95, 2 Ga 3.03
Rh 0.0000 0.0000 0.0000  8 Er 2.88-2.95
Er 0.8397 0.5948 0.6792  1 Rh 2.88, 3 Ga 3.01